# 1
An optimized crystal structure of V2RuPbI. Source: Alexandria, functional GGA-PBE.

The structure belongs to space group P4/mmm (No. 123); the cell edges are 4.780, 4.780 and 5.426 Å and the angles 90.00°, 90.00° and 90.00°. The inequivalent atoms are V at (0.000, 0.500, 0.000), Ru at (0.000, 0.000, 0.000), Pb at (0.500, 0.500, 0.500) and I at (0.000, 0.000, 0.500).


# 2
An optimized crystal structure of YRuPb2I. Source: Alexandria, functional GGA-PBE.

For the relative energy among the computed polymorphs, the calculation gives 0 meV/atom.

The structure belongs to space group P4/mmm (No. 123); the cell edges are 5.230, 5.230 and 5.801 Å and the angles 90.00°, 90.00° and 90.00°. The inequivalent atoms are Y at (0.000, 0.000, 0.000), Ru at (0.500, 0.500, 0.500), Pb at (0.000, 0.500, 0.500) and I at (0.500, 0.500, 0.000).


Number 1: raw total energy -5.605 eV per atom, calculated density 7194 kg/m³, magnetic moment 1.01 μB/atom. Number 2: raw total energy -4.585 eV per atom, calculated density 7652 kg/m³, magnetic moment 0.00 μB/atom.